[1]
A plane-wave DFT calculation with PBE-GGA was carried out for a relaxed structure of GaTeRuN2.

Lattice parameters (Å, degrees): 3.771 3.771 6.618 90.00 90.00 90.00
Sites, in units of the cell vectors:
Ga (0.000, 0.000, 0.000)
Te (0.000, 0.000, 0.500)
Ru (0.500, 0.500, 0.500)
N (0.000, 0.500, 0.000)
N (0.500, 0.000, 0.000)

- distance to the lowest polymorph of the same formula (kJ/mol of formula units) = 408
- ΔE_f (raw) (kcal/mol of atoms) = 36.4
- space-group type = No. 123
- size of the total moment (μB per atom) = 0.60

=====

[2]
A plane-wave DFT calculation with PBE-GGA was carried out for a relaxed structure of PmZn2GaPd2.

Lattice parameters (Å, degrees): 4.672 4.672 5.646 90.00 90.00 90.00
Sites, in units of the cell vectors:
Pm (0.000, 0.000, 0.000)
Zn (0.500, 0.500, 0.239)
Zn (0.500, 0.500, 0.761)
Ga (0.000, 0.000, 0.500)
Pd (0.000, 0.500, 0.500)
Pd (0.500, 0.000, 0.500)

- space-group type = No. 123
- ΔE_f (kJ/mol of atoms) = -30
- size of the total moment (μB per atom) = 0.00

=====

[3]
A plane-wave DFT calculation with PBE-GGA was carried out for a relaxed structure of PrAg6F12.

Lattice parameters (Å, degrees): 6.903 6.903 6.903 98.08 98.08 98.08
Sites, in units of the cell vectors:
Pr (0.000, 0.000, 0.000)
Ag (0.129, 0.330, 0.599)
Ag (0.330, 0.599, 0.129)
Ag (0.401, 0.871, 0.670)
Ag (0.599, 0.129, 0.330)
Ag (0.670, 0.401, 0.871)
Ag (0.871, 0.670, 0.401)
F (0.067, 0.867, 0.695)
F (0.133, 0.305, 0.933)
F (0.168, 0.573, 0.382)
F (0.305, 0.933, 0.133)
F (0.382, 0.168, 0.573)
F (0.427, 0.618, 0.832)
F (0.573, 0.382, 0.168)
F (0.618, 0.832, 0.427)
F (0.695, 0.067, 0.867)
F (0.832, 0.427, 0.618)
F (0.867, 0.695, 0.067)
F (0.933, 0.133, 0.305)

- ΔE_f (raw) (kcal/mol of atoms) = -38.7
- space-group type = No. 148
- size of the total moment (μB per atom) = 0.16

=====

[4]
A plane-wave DFT calculation with PBE-GGA was carried out for a relaxed structure of Ac5Nd4In4.

Lattice parameters (Å, degrees): 9.922 9.922 9.922 93.89 93.89 149.79
Sites, in units of the cell vectors:
Ac (0.000, 0.000, 0.000)
Ac (0.300, 0.620, 0.920)
Ac (0.380, 0.300, 0.680)
Ac (0.620, 0.700, 0.320)
Ac (0.700, 0.380, 0.080)
Nd (0.099, 0.410, 0.509)
Nd (0.410, 0.901, 0.311)
Nd (0.590, 0.099, 0.689)
Nd (0.901, 0.590, 0.491)
In (0.076, 0.756, 0.832)
In (0.244, 0.076, 0.320)
In (0.756, 0.924, 0.680)
In (0.924, 0.244, 0.168)

- space-group type = No. 87
- ΔE_f (kJ/mol of atoms) = -27
- size of the total moment (μB per atom) = 0.00